No. 1
Here is a relaxed structure of Pr2Zn3GaAu4 from the Alexandria database. Energies are from PBE.

a b c (Å): 4.390 4.390 10.845
angles (deg): 90.00 90.00 90.00
Space group P-4m2 (No. 115)
Inequivalent atoms, fractional coordinates:
Pr (0.000, 0.500, 0.243) x2
Zn (0.000, 0.000, 0.000) x1
Zn (0.000, 0.500, 0.633) x2
Ga (0.500, 0.500, 0.000) x1
Au (0.000, 0.000, 0.500) x1
Au (0.000, 0.500, 0.867) x2
Au (0.500, 0.500, 0.500) x1

As for the density of states at the Fermi level: 6.46 states/eV per cell. Its formation energy is -0.55 eV per atom. The total energy is -3.50 eV per atom.



No. 2
Here is a relaxed structure of Ga2PtAu from the Alexandria database. Energies are from PBE.

a b c (Å): 3.858 3.923 5.438
angles (deg): 89.27 89.24 64.08
Space group P-1 (No. 2)
Inequivalent atoms, fractional coordinates:
Ga (0.153, 0.144, 0.224) x2
Pt (0.500, 0.500, 0.000) x1
Au (0.500, 0.500, 0.500) x1

As for the distance to the lowest polymorph of the same formula: 0.00 eV per formula unit. As for the density of states at the Fermi level: 1.16 states/eV per cell. Its formation energy is -0.44 eV per atom. The total energy is -4.28 eV per atom.



No. 3
Here is a relaxed structure of Ga5Pt3Au from the Alexandria database. Energies are from PBE.

a b c (Å): 13.015 8.251 7.473
angles (deg): 90.00 116.68 90.00
Space group C2/m (No. 12)
Inequivalent atoms, fractional coordinates:
Ga (0.000, 0.201, 0.000) x4
Ga (0.092, 0.000, 0.361) x4
Ga (0.158, 0.295, 0.689) x8
Ga (0.190, 0.500, 0.028) x4
Pt (0.000, 0.500, 0.000) x2
Pt (0.000, 0.500, 0.500) x2
Pt (0.114, 0.000, 0.700) x4
Pt (0.173, 0.000, 0.124) x4
Au (0.176, 0.500, 0.395) x4

As for the density of states at the Fermi level: 9.69 states/eV per cell. Its formation energy is -0.34 eV per atom. The total energy is -4.39 eV per atom.



No. 4
Here is a relaxed structure of Ga2PtAu from the Alexandria database. Energies are from PBE.

a b c (Å): 3.221 3.221 6.325
angles (deg): 90.00 90.00 90.00
Space group P4/mmm (No. 123)
Inequivalent atoms, fractional coordinates:
Ga (0.000, 0.000, 0.232) x2
Pt (0.500, 0.500, 0.000) x1
Au (0.500, 0.500, 0.500) x1

As for the distance to the lowest polymorph of the same formula: 0.63 eV per formula unit. As for the density of states at the Fermi level: 1.07 states/eV per cell. Its formation energy is -0.28 eV per atom. The total energy is -4.12 eV per atom.



No. 5
Here is a relaxed structure of Ga3PtAu from the Alexandria database. Energies are from PBE.

a b c (Å): 4.835 4.835 4.835
angles (deg): 90.00 90.00 90.00
Space group Pm-3m (No. 221)
Inequivalent atoms, fractional coordinates:
Ga (0.000, 0.000, 0.500) x3
Pt (0.000, 0.000, 0.000) x1
Au (0.500, 0.500, 0.500) x1

As for the distance to the lowest polymorph of the same formula: 0.90 eV per formula unit. As for the density of states at the Fermi level: 0.62 states/eV per cell. Its formation energy is -0.17 eV per atom. The total energy is -3.85 eV per atom.



No. 6
Here is a relaxed structure of GaPtAu2 from the Alexandria database. Energies are from PBE.

a b c (Å): 2.8246 2.8246 30.8114
angles (deg): 90.00 90.00 120.00
Space group R-3m (No. 166, hexagonal axes)
Inequivalent atoms, fractional coordinates:
Ga (0.0000, 0.0000, 0.0000) x3
Pt (0.0000, 0.0000, 0.5000) x3
Au (0.0000, 0.0000, 0.4110) x6

As for the density of states at the Fermi level: 3.28 states/eV per cell. Its formation energy is 0.08 eV per atom. The total energy is -3.83 eV per atom.



No. 7
Here is a relaxed structure of Ga3PtAu from the Alexandria database. Energies are from PBE.

a b c (Å): 3.313 8.246 6.912
angles (deg): 90.00 90.00 90.00
Space group Pmmn (No. 59, origin choice 2)
Inequivalent atoms, fractional coordinates:
Ga (0.250, 0.057, 0.157) x4
Ga (0.250, 0.250, 0.657) x2
Pt (0.250, 0.750, 0.062) x2
Au (0.250, 0.750, 0.636) x2

As for the distance to the lowest polymorph of the same formula: 0.21 eV per formula unit. As for the density of states at the Fermi level: 2.19 states/eV per cell. Its formation energy is -0.31 eV per atom. The total energy is -3.99 eV per atom.



No. 8
Here is a relaxed structure of GaPt2Au from the Alexandria database. Energies are from PBE.

a b c (Å): 4.2910 4.2910 13.0993
angles (deg): 90.00 90.00 120.00
Space group R3m (No. 160, hexagonal axes)
Inequivalent atoms, fractional coordinates:
Ga (0.0000, 0.0000, 0.0000) x3
Pt (0.0000, 0.0000, 0.3618) x3
Pt (0.0000, 0.0000, 0.5812) x3
Au (0.0000, 0.0000, 0.8026) x3

As for the density of states at the Fermi level: 3.54 states/eV per cell. Its formation energy is -0.22 eV per atom. The total energy is -4.81 eV per atom.



No. 9
Here is a relaxed structure of GaPtAu from the Alexandria database. Energies are from PBE.

a b c (Å): 4.2726 4.2726 3.1973
angles (deg): 90.00 90.00 120.00
Space group P3m1 (No. 156)
Inequivalent atoms, fractional coordinates:
Ga (0.0000, 0.0000, 0.0000) x1
Pt (0.6667, 0.3333, 0.1341) x1
Au (0.3333, 0.6667, 0.6120) x1

As for the distance to the lowest polymorph of the same formula: 0.13 eV per formula unit. As for the density of states at the Fermi level: 1.11 states/eV per cell. Its formation energy is -0.30 eV per atom. The total energy is -4.42 eV per atom.



No. 10
Here is a relaxed structure of GaPt4Au from the Alexandria database. Energies are from PBE.

a b c (Å): 5.341 7.589 5.510
angles (deg): 90.00 118.23 90.00
Space group C2/m (No. 12)
Inequivalent atoms, fractional coordinates:
Ga (0.000, 0.000, 0.000) x2
Pt (0.236, 0.184, 0.756) x8
Au (0.000, 0.500, 0.500) x2

As for the density of states at the Fermi level: 8.75 states/eV per cell. Its formation energy is -0.15 eV per atom. The total energy is -5.22 eV per atom.



No. 11
Here is a relaxed structure of Ga8PtAu2 from the Alexandria database. Energies are from PBE.

a b c (Å): 19.410 4.022 5.440
angles (deg): 90.00 105.10 90.00
Space group C2/m (No. 12)
Inequivalent atoms, fractional coordinates:
Ga (0.027, 0.000, 0.243) x4
Ga (0.099, 0.500, 0.914) x4
Ga (0.139, 0.500, 0.473) x4
Ga (0.224, 0.000, 0.763) x4
Pt (0.000, 0.500, 0.500) x2
Au (0.172, 0.000, 0.179) x4

As for the density of states at the Fermi level: 6.42 states/eV per cell. Its formation energy is -0.23 eV per atom. The total energy is -3.58 eV per atom.



No. 12
Here is a relaxed structure of GaPtAu from the Alexandria database. Energies are from PBE.

a b c (Å): 5.994 5.994 5.994
angles (deg): 90.00 90.00 90.00
Space group F-43m (No. 216)
Inequivalent atoms, fractional coordinates:
Ga (0.000, 0.000, 0.000) x4
Pt (0.250, 0.250, 0.750) x4
Au (0.250, 0.250, 0.250) x4

As for the distance to the lowest polymorph of the same formula: 0.20 eV per formula unit. As for the density of states at the Fermi level: 2.03 states/eV per cell. Its formation energy is -0.28 eV per atom. The total energy is -4.40 eV per atom.



No. 13
Here is a relaxed structure of Ga2PtAu from the Alexandria database. Energies are from PBE.

a b c (Å): 12.535 3.549 6.275
angles (deg): 90.00 90.00 90.00
Space group Pnma (No. 62)
Inequivalent atoms, fractional coordinates:
Ga (0.046, 0.250, 0.171) x4
Ga (0.215, 0.750, 0.330) x4
Pt (0.146, 0.750, 0.946) x4
Au (0.103, 0.250, 0.572) x4

As for the distance to the lowest polymorph of the same formula: 0.20 eV per formula unit. As for the density of states at the Fermi level: 5.53 states/eV per cell. Its formation energy is -0.38 eV per atom. The total energy is -4.23 eV per atom.



No. 14
Here is a relaxed structure of Ga8Pt2Au from the Alexandria database. Energies are from PBE.

a b c (Å): 11.729 7.326 5.017
angles (deg): 90.00 106.48 90.00
Space group C2/m (No. 12)
Inequivalent atoms, fractional coordinates:
Ga (0.084, 0.000, 0.249) x4
Ga (0.101, 0.217, 0.745) x8
Ga (0.190, 0.500, 0.409) x4
Pt (0.232, 0.500, 0.930) x4
Au (0.000, 0.500, 0.000) x2

As for the density of states at the Fermi level: 8.14 states/eV per cell. Its formation energy is -0.26 eV per atom. The total energy is -3.86 eV per atom.



No. 15
Here is a relaxed structure of Ga2Pt2Au from the Alexandria database. Energies are from PBE.

a b c (Å): 3.808 3.808 11.915
angles (deg): 90.00 90.00 90.00
Space group I4/mmm (No. 139)
Inequivalent atoms, fractional coordinates:
Ga (0.000, 0.500, 0.250) x4
Pt (0.000, 0.000, 0.111) x4
Au (0.000, 0.000, 0.500) x2

As for the distance to the lowest polymorph of the same formula: 0.41 eV per formula unit. As for the density of states at the Fermi level: 1.82 states/eV per cell. Its formation energy is -0.40 eV per atom. The total energy is -4.68 eV per atom.



No. 16
Here is a relaxed structure of GaPt2Au from the Alexandria database. Energies are from PBE.

a b c (Å): 4.066 4.066 3.869
angles (deg): 90.00 90.00 90.00
Space group P4/mmm (No. 123)
Inequivalent atoms, fractional coordinates:
Ga (0.000, 0.000, 0.000) x1
Pt (0.000, 0.500, 0.500) x2
Au (0.500, 0.500, 0.000) x1

As for the density of states at the Fermi level: 0.32 states/eV per cell. Its formation energy is -0.35 eV per atom. The total energy is -4.94 eV per atom.



No. 17
Here is a relaxed structure of GaPtAu2 from the Alexandria database. Energies are from PBE.

a b c (Å): 4.082 4.082 4.023
angles (deg): 90.00 90.00 90.00
Space group P4/mmm (No. 123)
Inequivalent atoms, fractional coordinates:
Ga (0.000, 0.000, 0.000) x1
Pt (0.500, 0.500, 0.000) x1
Au (0.000, 0.500, 0.500) x2

As for the density of states at the Fermi level: 2.31 states/eV per cell. Its formation energy is -0.16 eV per atom. The total energy is -4.07 eV per atom.



No. 18
Here is a relaxed structure of Ga6PtAu from the Alexandria database. Energies are from PBE.

a b c (Å): 5.307 5.319 7.176
angles (deg): 95.00 106.13 119.15
Space group P-1 (No. 2)
Inequivalent atoms, fractional coordinates:
Ga (0.014, 0.086, 0.203) x2
Ga (0.255, 0.487, 0.774) x2
Ga (0.374, 0.840, 0.301) x2
Pt (0.500, 0.000, 0.000) x1
Au (0.500, 0.500, 0.500) x1

As for the density of states at the Fermi level: 2.56 states/eV per cell. Its formation energy is -0.21 eV per atom. The total energy is -3.64 eV per atom.



No. 19
Here is a relaxed structure of GaPtAu3 from the Alexandria database. Energies are from PBE.

a b c (Å): 5.125 5.125 5.125
angles (deg): 90.00 90.00 90.00
Space group Pm-3m (No. 221)
Inequivalent atoms, fractional coordinates:
Ga (0.000, 0.000, 0.000) x1
Pt (0.500, 0.500, 0.500) x1
Au (0.000, 0.500, 0.500) x3

As for the distance to the lowest polymorph of the same formula: 0.00 eV per formula unit. As for the density of states at the Fermi level: 3.12 states/eV per cell. Its formation energy is 0.60 eV per atom. The total energy is -3.18 eV per atom.



No. 20
Here is a relaxed structure of Ga2PtAu from the Alexandria database. Energies are from PBE.

a b c (Å): 5.904 5.904 11.083
angles (deg): 90.00 90.00 90.00
Space group I-42d (No. 122)
Inequivalent atoms, fractional coordinates:
Ga (0.231, 0.250, 0.125) x8
Pt (0.000, 0.000, 0.000) x4
Au (0.000, 0.000, 0.500) x4

As for the distance to the lowest polymorph of the same formula: 1.21 eV per formula unit. As for the density of states at the Fermi level: 3.88 states/eV per cell. Its formation energy is -0.13 eV per atom. The total energy is -3.98 eV per atom.